A plane-wave DFT calculation with SCAN was carried out for a crystal of Cs2HgAuF6 relaxed with PBEsol. Values from VASP.

Values from the calculation:
DFT total energy: -25.34 eV per atom

The structure in Quantum ESPRESSO input format:
```
&SYSTEM
  ibrav = 0, nat = 10, ntyp = 4
/
ATOMIC_SPECIES
F 19.00 F.upf
Cs 132.91 Cs.upf
Hg 200.59 Hg.upf
Au 196.97 Au.upf
CELL_PARAMETERS angstrom
-5.200 -3.520 1.190
-3.275 -2.598 -4.834
0.141 -6.322 -0.923
ATOMIC_POSITIONS crystal
F 0.247 0.247 0.753
F 0.247 0.753 0.753
F 0.753 0.247 0.247
Cs 0.750 0.750 0.750
F 0.753 0.753 0.247
F 0.247 0.753 0.247
Cs 0.250 0.250 0.250
Hg 0.500 0.500 0.500
Au 0.000 0.000 0.000
F 0.753 0.247 0.753
```